Entry from Alexandria via LeMat-Bulk: a relaxed structure of ZrCrBi2 (PBE).

a b c (Å): 7.8212 7.8212 6.4369
angles (deg): 52.59 52.59 90.00
Positions (direct):
Bi: 0.3750 0.3974 0.7500
Bi: 0.1474 0.6250 0.2500
Bi: 0.8750 0.8526 0.7500
Bi: 0.6026 0.1250 0.2500
Zr: 0.0000 0.0000 0.0000
Zr: 0.7500 0.2500 0.5000
Cr: 0.2500 0.7500 0.5000
Cr: 0.5000 0.5000 0.0000

Energy of formation from the pure elements in kJ/mol of formula units: 130
Magnetization in μB per formula unit: 3.72
Space group: I-42d